Record 1
Density functional theory data (PBE-GGA) for a relaxed structure of AgHgPd4.

Properties
**Excess energy over the best structure of this formula in the dataset**: 0.000 eV/atom
**Formation enthalpy at 0 K**: -0.5 eV/f.u.
**Total DFT energy (no corrections)**: -4.067 eV per atom

```
data_AgHgPd4
_symmetry_space_group_name_H-M 'C m m m'
_symmetry_Int_Tables_number 65
_symmetry_space_group_name_Hall '-C 2 2'
_cell_length_a 4.0929
_cell_length_b 11.9611
_cell_length_c 4.0721
_cell_angle_alpha 90.00
_cell_angle_beta 90.00
_cell_angle_gamma 90.00
loop_
_atom_site_label
_atom_site_fract_x
_atom_site_fract_y
_atom_site_fract_z
Ag1 0.0000 0.0000 0.0000
Hg1 0.0000 0.5000 0.5000
Pd1 0.0000 0.1704 0.5000
Pd2 0.0000 0.3301 0.0000
```

---

Record 2
Density functional theory data (PBE-GGA) for a relaxed structure of Ag5HgPd5.

Properties
**Formation enthalpy at 0 K**: 0.6 eV/f.u.
**Total DFT energy (no corrections)**: -3.633 eV per atom

```
data_Ag5HgPd5
_symmetry_space_group_name_H-M 'P -1'
_symmetry_Int_Tables_number 2
_symmetry_space_group_name_Hall '-P 1'
_cell_length_a 5.2331
_cell_length_b 5.5679
_cell_length_c 6.9827
_cell_angle_alpha 102.82
_cell_angle_beta 95.72
_cell_angle_gamma 98.22
loop_
_atom_site_label
_atom_site_fract_x
_atom_site_fract_y
_atom_site_fract_z
Ag1 0.0000 0.0000 0.0000
Ag2 0.0779 0.7240 0.6303
Ag3 0.4936 0.7295 0.9192
Hg1 0.0000 0.5000 0.0000
Pd1 0.2188 0.2316 0.7063
Pd2 0.3230 0.9542 0.3338
Pd3 0.5000 0.5000 0.5000
```

---

Record 3
Density functional theory data (PBE-GGA) for a relaxed structure of Ag12Hg2Pd5.

Properties
**Formation enthalpy at 0 K**: 2.9 eV/f.u.
**Total DFT energy (no corrections)**: -3.045 eV per atom

```
data_Ag12Hg2Pd5
_symmetry_space_group_name_H-M 'C 1 2/m 1'
_symmetry_Int_Tables_number 12
_symmetry_space_group_name_Hall '-C 2y'
_cell_length_a 15.0787
_cell_length_b 5.6267
_cell_length_c 9.2366
_cell_angle_alpha 90.00
_cell_angle_beta 100.32
_cell_angle_gamma 90.00
loop_
_atom_site_label
_atom_site_fract_x
_atom_site_fract_y
_atom_site_fract_z
Ag1 0.0210 0.0000 0.3560
Ag2 0.1457 0.2451 0.6309
Ag3 0.1501 0.5000 0.3604
Ag4 0.2076 0.2497 0.1277
Hg1 0.0000 0.2568 0.0000
Pd1 0.0000 0.5000 0.5000
Pd2 0.1284 0.0000 0.8823
Pd3 0.2024 0.0000 0.3952
```

---

Record 4
Density functional theory data (PBE-GGA) for a relaxed structure of Ag3HgPd2.

Properties
**Formation enthalpy at 0 K**: -0.4 eV/f.u.
**Total DFT energy (no corrections)**: -3.272 eV per atom

```
data_Ag3HgPd2
_symmetry_space_group_name_H-M 'P -1'
_symmetry_Int_Tables_number 2
_symmetry_space_group_name_Hall '-P 1'
_cell_length_a 4.1128
_cell_length_b 4.1564
_cell_length_c 6.4581
_cell_angle_alpha 89.72
_cell_angle_beta 71.67
_cell_angle_gamma 89.91
loop_
_atom_site_label
_atom_site_fract_x
_atom_site_fract_y
_atom_site_fract_z
Ag1 0.0000 0.0000 0.0000
Ag2 0.3285 0.0002 0.3425
Hg1 0.5000 0.5000 0.0000
Pd1 0.1668 0.4998 0.6663
```

---

Record 5
Density functional theory data (PBE-GGA) for a relaxed structure of AgHg2Pd4.

Properties
**Excess energy over the best structure of this formula in the dataset**: 0.000 eV/atom
**Formation enthalpy at 0 K**: -0.5 eV/f.u.
**Total DFT energy (no corrections)**: -3.528 eV per atom

```
data_AgHg2Pd4
_symmetry_space_group_name_H-M 'C 1 2 1'
_symmetry_Int_Tables_number 5
_symmetry_space_group_name_Hall 'C 2y'
_cell_length_a 12.3011
_cell_length_b 7.1801
_cell_length_c 6.9579
_cell_angle_alpha 90.00
_cell_angle_beta 124.41
_cell_angle_gamma 90.00
loop_
_atom_site_label
_atom_site_fract_x
_atom_site_fract_y
_atom_site_fract_z
Ag1 0.0338 0.0000 0.2853
Hg1 0.0000 0.3584 0.0000
Hg2 0.0000 0.6408 0.5000
Hg3 0.2502 0.2498 0.5483
Pd1 0.1102 0.3063 0.7495
Pd2 0.1100 0.6936 0.9701
Pd3 0.2056 0.0690 0.1464
Pd4 0.2065 0.9303 0.7656
```

---

Record 6
Density functional theory data (PBE-GGA) for a relaxed structure of Ag2HgPd4.

Properties
**Excess energy over the best structure of this formula in the dataset**: 0.000 eV/atom
**Formation enthalpy at 0 K**: 0.3 eV/f.u.
**Total DFT energy (no corrections)**: -3.776 eV per atom

```
data_Ag2HgPd4
_symmetry_space_group_name_H-M 'P 1 21/m 1'
_symmetry_Int_Tables_number 11
_symmetry_space_group_name_Hall '-P 2yb'
_cell_length_a 6.8855
_cell_length_b 5.2242
_cell_length_c 7.5870
_cell_angle_alpha 90.00
_cell_angle_beta 116.16
_cell_angle_gamma 90.00
loop_
_atom_site_label
_atom_site_fract_x
_atom_site_fract_y
_atom_site_fract_z
Ag1 0.1153 0.2500 0.0701
Ag2 0.2776 0.2500 0.5028
Hg1 0.2626 0.7500 0.2949
Pd1 0.1196 0.5020 0.7390
Pd2 0.4508 0.7500 0.6972
Pd3 0.4817 0.7500 0.0671
```

---

Record 7
Density functional theory data (PBE-GGA) for a relaxed structure of Ag2HgPd7.

Properties
**Formation enthalpy at 0 K**: 4.9 eV/f.u.
**Total DFT energy (no corrections)**: -3.749 eV per atom

```
data_Ag2HgPd7
_symmetry_space_group_name_H-M 'C m m m'
_symmetry_Int_Tables_number 65
_symmetry_space_group_name_Hall '-C 2 2'
_cell_length_a 7.1936
_cell_length_b 13.9847
_cell_length_c 4.2438
_cell_angle_alpha 90.00
_cell_angle_beta 90.00
_cell_angle_gamma 90.00
loop_
_atom_site_label
_atom_site_fract_x
_atom_site_fract_y
_atom_site_fract_z
Ag1 0.0000 0.1996 0.0000
Hg1 0.0000 0.5000 0.5000
Pd1 0.0000 0.0000 0.0000
Pd2 0.0000 0.3103 0.5000
Pd3 0.1843 0.3993 0.0000
```

---

Record 8
Density functional theory data (PBE-GGA) for a relaxed structure of AgHg3Pd3.

Properties
**Excess energy over the best structure of this formula in the dataset**: 0.000 eV/atom
**Formation enthalpy at 0 K**: -0.7 eV/f.u.
**Total DFT energy (no corrections)**: -2.861 eV per atom

```
data_AgHg3Pd3
_symmetry_space_group_name_H-M 'C m m m'
_symmetry_Int_Tables_number 65
_symmetry_space_group_name_Hall '-C 2 2'
_cell_length_a 9.3192
_cell_length_b 9.3671
_cell_length_c 6.1970
_cell_angle_alpha 90.00
_cell_angle_beta 90.00
_cell_angle_gamma 90.00
loop_
_atom_site_label
_atom_site_fract_x
_atom_site_fract_y
_atom_site_fract_z
Ag1 0.2328 0.0000 0.0000
Hg1 0.0000 0.2325 0.0000
Hg2 0.0000 0.2369 0.5000
Hg3 0.2379 0.0000 0.5000
Pd1 0.0000 0.5000 0.2432
Pd2 0.2500 0.2500 0.2494
```

---

Record 9
Density functional theory data (PBE-GGA) for a relaxed structure of AgHgPd.

Properties
**Excess energy over the best structure of this formula in the dataset**: 0.000 eV/atom
**Formation enthalpy at 0 K**: -0.2 eV/f.u.
**Total DFT energy (no corrections)**: -2.856 eV per atom

```
data_AgHgPd
_symmetry_space_group_name_H-M 'C 1 2/m 1'
_symmetry_Int_Tables_number 12
_symmetry_space_group_name_Hall '-C 2y'
_cell_length_a 9.2739
_cell_length_b 4.0763
_cell_length_c 6.0369
_cell_angle_alpha 90.00
_cell_angle_beta 108.43
_cell_angle_gamma 90.00
loop_
_atom_site_label
_atom_site_fract_x
_atom_site_fract_y
_atom_site_fract_z
Ag1 0.1712 0.0000 0.3304
Hg1 0.0000 0.5000 0.0000
Hg2 0.0000 0.5000 0.5000
Pd1 0.1646 0.0000 0.8335
```

---

Record 10
Density functional theory data (PBE-GGA) for a relaxed structure of Ag6HgPd2.

Properties
**Excess energy over the best structure of this formula in the dataset**: 0.000 eV/atom
**Formation enthalpy at 0 K**: -0.3 eV/f.u.
**Total DFT energy (no corrections)**: -3.122 eV per atom

```
data_Ag6HgPd2
_symmetry_space_group_name_H-M 'C 1 2/m 1'
_symmetry_Int_Tables_number 12
_symmetry_space_group_name_Hall '-C 2y'
_cell_length_a 12.4537
_cell_length_b 2.9877
_cell_length_c 8.8239
_cell_angle_alpha 90.00
_cell_angle_beta 104.47
_cell_angle_gamma 90.00
loop_
_atom_site_label
_atom_site_fract_x
_atom_site_fract_y
_atom_site_fract_z
Ag1 0.0023 0.0000 0.3374
Ag2 0.1702 0.5000 0.5588
Ag3 0.1721 0.5000 0.8841
Hg1 0.0000 0.0000 0.0000
Pd1 0.1634 0.5000 0.2213
```

---

Record 11
Density functional theory data (PBE-GGA) for a relaxed structure of AgHg2Pd2.

Properties
**Excess energy over the best structure of this formula in the dataset**: 0.266 eV/atom
**Formation enthalpy at 0 K**: 1.1 eV/f.u.
**Total DFT energy (no corrections)**: -2.552 eV per atom

```
data_AgHg2Pd2
_symmetry_space_group_name_H-M 'I 4/m m m'
_symmetry_Int_Tables_number 139
_symmetry_space_group_name_Hall '-I 4 2'
_cell_length_a 4.0859
_cell_length_b 4.0859
_cell_length_c 12.6719
_cell_angle_alpha 90.00
_cell_angle_beta 90.00
_cell_angle_gamma 90.00
loop_
_atom_site_label
_atom_site_fract_x
_atom_site_fract_y
_atom_site_fract_z
Ag1 0.0000 0.0000 0.0000
Hg1 0.0000 0.5000 0.2500
Pd1 0.0000 0.0000 0.3987
```

---

Record 12
Density functional theory data (PBE-GGA) for a relaxed structure of Ag2Hg3Pd8.

Properties
**Excess energy over the best structure of this formula in the dataset**: 0.135 eV/atom
**Formation enthalpy at 0 K**: 1.4 eV/f.u.
**Total DFT energy (no corrections)**: -3.595 eV per atom

```
data_Ag2Hg3Pd8
_symmetry_space_group_name_H-M 'R -3 m'
_symmetry_Int_Tables_number 166
_symmetry_space_group_name_Hall '-R 3 2"'
_cell_length_a 5.2338
_cell_length_b 5.2338
_cell_length_c 30.6040
_cell_angle_alpha 90.00
_cell_angle_beta 90.00
_cell_angle_gamma 120.00
loop_
_atom_site_label
_atom_site_fract_x
_atom_site_fract_y
_atom_site_fract_z
Ag1 0.0000 0.0000 0.1420
Hg1 0.0000 0.0000 0.3185
Hg2 0.0000 0.0000 0.5000
Pd1 0.0000 0.0000 0.2292
Pd2 0.0009 0.5004 0.2678
```